No. 1
The following is a DFT calculation (PBE) of a relaxed La16Nd6Tm7 crystal.

## Properties
- Energy: -0.3385 Ry per atom
- ΔE_f: 0.178 eV/atom
- Calculated density: 6.8 g/cm3

Unit cell a=16.077 b=16.077 c=16.077 alpha=90.00 beta=90.00 gamma=90.00
Space group Fm-3m (No. 225)
Asymmetric unit:
La1 0.120 0.120 0.120 [32 per cell]
La2 0.154 0.154 0.346 [32 per cell]
Nd1 0.000 0.000 0.301 [24 per cell]
Tm1 0.000 0.000 0.000 [4 per cell]
Tm2 0.000 0.250 0.250 [24 per cell]

No. 2
The following is a DFT calculation (PBE) of a relaxed SrBe2Cl crystal.

## Properties
- Energy: -0.2111 Ry per atom
- Calculated density: 2.8 g/cm3
- Uncorrected formation energy: -0.127 eV per atom
- ΔE to the lowest computed polymorph: 0.0361 eV per atom

Unit cell a=4.388 b=9.740 c=3.906 alpha=90.00 beta=90.00 gamma=90.00
Space group Cmmm (No. 65)
Asymmetric unit:
Sr1 0.000 0.000 0.000 [2 per cell]
Be1 0.000 0.273 0.500 [4 per cell]
Cl1 0.000 0.500 0.500 [2 per cell]

No. 3
The following is a DFT calculation (PBE) of a relaxed CaSm7Er4 crystal.

## Properties
- Energy: -0.3246 Ry per atom
- ΔE_f: 0.024 eV/atom
- Calculated density: 7.4 g/cm3

Unit cell a=6.287 b=7.268 c=8.950 alpha=89.81 beta=76.53 gamma=89.95
Space group P-1 (No. 2)
Asymmetric unit:
Ca1 0.000 0.000 0.000 [1 per cell]
Sm1 0.000 0.500 0.000 [1 per cell]
Sm2 0.225 0.000 0.341 [2 per cell]
Sm3 0.283 0.254 0.661 [2 per cell]
Sm4 0.498 0.741 0.999 [2 per cell]
Er1 0.220 0.500 0.333 [2 per cell]
Er2 0.282 0.744 0.663 [2 per cell]

No. 4
The following is a DFT calculation (PBE) of a relaxed NbCd2RhCl crystal.

## Properties
- Energy: -0.2871 Ry per atom
- Calculated density: 5.8 g/cm3
- Uncorrected formation energy: 0.313 eV per atom

Unit cell a=5.214 b=5.214 c=4.783 alpha=90.00 beta=90.00 gamma=90.00
Space group P4/mmm (No. 123)
Asymmetric unit:
Nb1 0.000 0.000 0.000 [1 per cell]
Cd1 0.000 0.500 0.500 [2 per cell]
Rh1 0.000 0.000 0.500 [1 per cell]
Cl1 0.500 0.500 0.000 [1 per cell]

No. 5
The following is a DFT calculation (PBE) of a relaxed PrZnS crystal.

## Properties
- Energy: -0.3313 Ry per atom
- Calculated density: 4.6 g/cm3
- Uncorrected formation energy: -1.114 eV per atom

Unit cell a=4.5873 b=4.5873 c=9.3901 alpha=90.00 beta=90.00 gamma=120.00
Space group P-3m1 (No. 164)
Asymmetric unit:
Pr1 0.0000 0.0000 0.2032 [2 per cell]
Zn1 0.3333 0.6667 0.0148 [2 per cell]
S1 0.3333 0.6667 0.2979 [2 per cell]

No. 6
The following is a DFT calculation (PBE) of a relaxed HoCd6Au12 crystal.

## Properties
- Energy: -0.2021 Ry per atom
- ΔE_f: -0.150 eV/atom
- Calculated density: 13.1 g/cm3

Unit cell a=12.3750 b=12.3750 c=9.1773 alpha=90.00 beta=90.00 gamma=120.00
Space group R-3m (No. 166, hexagonal axes)
Asymmetric unit:
Ho1 0.0000 0.0000 0.0000 [3 per cell]
Cd1 0.0729 0.5365 0.2350 [18 per cell]
Au1 0.0000 0.3868 0.5000 [18 per cell]
Au2 0.0809 0.1617 0.2558 [18 per cell]

No. 7
The following is a DFT calculation (PBE) of a relaxed SnCl2F2 crystal.

## Properties
- Energy: -0.2906 Ry per atom
- Calculated density: 3.0 g/cm3
- Uncorrected formation energy: -1.665 eV per atom

Unit cell a=5.496 b=6.316 c=8.016 alpha=103.55 beta=102.34 gamma=105.96
Space group P-1 (No. 2)
Asymmetric unit:
Sn1 0.185 0.433 0.359 [2 per cell]
Cl1 0.126 0.926 0.810 [2 per cell]
Cl2 0.327 0.615 0.162 [2 per cell]
F1 0.072 0.380 0.590 [2 per cell]
F2 0.496 0.302 0.427 [2 per cell]